VASP calculation (GGA-PBEsol) on a relaxed structure of FeAs2HSe.

Cell lengths 3.835, 3.835, 5.035 Å; angles 90.00, 90.00, 90.00 degrees
Atoms (fractional coordinates):
Fe 0.000 0.000 0.000
As 0.000 0.500 0.500
As 0.500 0.000 0.500
H 0.500 0.500 0.500
Se 0.500 0.500 0.000

## Properties
space group: P4/mmm, No. 123

---

VASP calculation (GGA-PBEsol) on a relaxed structure of ScSiTe.

Cell lengths 6.655, 6.655, 6.655 Å; angles 90.00, 90.00, 90.00 degrees
Atoms (fractional coordinates):
Sc 0.000 0.000 0.000
Sc 0.000 0.500 0.500
Sc 0.500 0.000 0.500
Sc 0.500 0.500 0.000
Si 0.250 0.250 0.750
Si 0.250 0.750 0.250
Si 0.750 0.250 0.250
Si 0.750 0.750 0.750
Te 0.250 0.250 0.250
Te 0.250 0.750 0.750
Te 0.750 0.250 0.750
Te 0.750 0.750 0.250

## Properties
formation energy from raw total energies: -0.127 eV per atom
space group: F-43m, No. 216

---

VASP calculation (GGA-PBEsol) on a relaxed structure of KMnAs4.

Cell lengths 5.637, 5.637, 5.637 Å; angles 60.00, 60.00, 60.00 degrees
Atoms (fractional coordinates):
K 0.000 0.000 0.000
Mn 0.750 0.750 0.750
As 0.377 0.377 0.377
As 0.377 0.377 0.868
As 0.377 0.868 0.377
As 0.868 0.377 0.377

## Properties
energy of formation: 0.322 eV/atom
space group: F-43m, No. 216

---

VASP calculation (GGA-PBEsol) on a relaxed structure of FeNiPt2.

Cell lengths 5.372, 7.282, 2.686 Å; angles 90.00, 90.00, 90.00 degrees
Atoms (fractional coordinates):
Fe 0.000 0.000 0.000
Fe 0.500 0.500 0.000
Ni 0.000 0.500 0.000
Ni 0.500 0.000 0.000
Pt 0.250 0.250 0.500
Pt 0.250 0.750 0.500
Pt 0.750 0.250 0.500
Pt 0.750 0.750 0.500

## Properties
energy of formation: -0.145 eV/atom
space group: Cmmm, No. 65

---

VASP calculation (GGA-PBEsol) on a relaxed structure of TiAlBr2.

Cell lengths 3.353, 3.353, 28.606 Å; angles 90.00, 90.00, 120.00 degrees
Atoms (fractional coordinates):
Ti 0.000 0.000 0.000
Ti 0.333 0.667 0.667
Ti 0.667 0.333 0.333
Al 0.000 0.000 0.500
Al 0.333 0.667 0.167
Al 0.667 0.333 0.833
Br 0.000 0.000 0.084
Br 0.000 0.000 0.916
Br 0.333 0.667 0.583
Br 0.333 0.667 0.750
Br 0.667 0.333 0.250
Br 0.667 0.333 0.417

## Properties
formation energy from raw total energies: -0.042 eV per atom
energy above the most stable polymorph in this dataset: 0 meV per atom
space group: R-3m, No. 166

---

VASP calculation (GGA-PBEsol) on a relaxed structure of SrLi2Bi2.

Cell lengths 5.244, 5.244, 10.011 Å; angles 90.00, 90.00, 90.00 degrees
Atoms (fractional coordinates):
Sr 0.000 0.000 0.000
Sr 0.500 0.500 0.500
Li 0.000 0.000 0.358
Li 0.000 0.000 0.642
Li 0.500 0.500 0.142
Li 0.500 0.500 0.858
Bi 0.000 0.500 0.250
Bi 0.000 0.500 0.750
Bi 0.500 0.000 0.250
Bi 0.500 0.000 0.750

## Properties
energy of formation: -0.503 eV/atom
energy above the most stable polymorph in this dataset: 126 meV per atom
space group: I4/mmm, No. 139

---

Number 1: density 6.403 g cm⁻³, E_tot -0.338 Ry per atom, magnetization 2.93 μB per formula unit. Number 2: density 4.521 g cm⁻³, E_tot -0.398 Ry per atom, magnetization 0.00 μB per formula unit. Number 3: density 5.162 g cm⁻³, E_tot -0.360 Ry per atom, magnetization 4.71 μB per formula unit. Number 4: density 15.953 g cm⁻³, E_tot -0.544 Ry per atom, magnetization 4.45 μB per formula unit. Number 5: density 4.197 g cm⁻³, E_tot -0.300 Ry per atom, magnetization 0.32 μB per formula unit. Number 6: density 6.266 g cm⁻³, E_tot -0.248 Ry per atom, magnetization 0.00 μB per formula unit.